This record from Alexandria via LeMat-Bulk describes an optimized crystal structure of Ir2PdPt8. The functional is PBE-GGA.

a = 5.397 Å, b = 8.150 Å, c = 8.175 Å
α = 90.00°, β = 90.00°, γ = 90.00°
Space group Cmmm (No. 65)
Unique sites:
Ir 0.000 0.248 0.000 [4 per cell]
Pd 0.000 0.500 0.500 [2 per cell]
Pt 0.000 0.225 0.339 [8 per cell]
Pt 0.245 0.500 0.170 [8 per cell]

* raw total energy: -137.95 eV/cell
* size of the total moment: 0.000 μB per formula unit
* crystal system: orthorhombic